Entry 1
{"formula": "Tl3Cd3Hg", "functional": "GGA-PBE", "state": "optimized geometry", "lattice": [[-4.329, 6.173, 3.601], [1.877, -3.080, 7.537], [6.895, 4.714, 0.209]], "species": ["Tl", "Tl", "Tl", "Tl", "Tl", "Tl", "Hg", "Hg", "Cd", "Cd", "Cd", "Cd", "Cd", "Cd"], "fractional_positions": [[0.250, 0.000, 0.500], [0.000, 0.500, 0.250], [0.500, 0.750, 0.000], [0.750, 0.000, 0.500], [0.000, 0.500, 0.750], [0.500, 0.250, 0.000], [0.500, 0.500, 0.500], [0.000, 0.000, 0.000], [0.000, 0.250, 0.500], [0.000, 0.750, 0.500], [0.500, 0.000, 0.750], [0.750, 0.500, 0.000], [0.500, 0.000, 0.250], [0.250, 0.500, 0.000]], "space_group": "Pm-3n, No. 223", "magnetic_moment_mub_per_fu": 0.00}

Entry 2
{"formula": "Tl3Cd3Hg", "functional": "GGA-PBE", "state": "optimized geometry", "lattice": [[-0.453, 3.931, 3.511], [-0.325, -6.529, 7.268], [8.589, 3.620, -2.944]], "species": ["Tl", "Tl", "Tl", "Tl", "Tl", "Tl", "Cd", "Cd", "Cd", "Cd", "Cd", "Cd", "Hg", "Hg"], "fractional_positions": [[0.250, 0.565, 0.781], [0.250, 0.217, 0.435], [0.250, 0.219, 0.783], [0.750, 0.435, 0.219], [0.750, 0.783, 0.565], [0.750, 0.781, 0.217], [0.750, 0.773, 0.886], [0.750, 0.113, 0.227], [0.750, 0.114, 0.887], [0.250, 0.227, 0.114], [0.250, 0.887, 0.773], [0.250, 0.886, 0.113], [0.750, 0.333, 0.667], [0.250, 0.667, 0.333]], "space_group": "P2_1/m, No. 11", "magnetic_moment_mub_per_fu": 0.00}

Entry 3
{"formula": "Tl3Cd3Hg", "functional": "GGA-PBE", "state": "optimized geometry", "lattice": [[6.224, 0.000, 2.009], [2.788, 5.565, 2.009], [-0.260, -0.160, 11.451]], "species": ["Tl", "Tl", "Tl", "Tl", "Tl", "Tl", "Cd", "Cd", "Cd", "Cd", "Cd", "Cd", "Hg", "Hg"], "fractional_positions": [[0.374, 0.374, 0.370], [0.882, 0.374, 0.370], [0.374, 0.882, 0.370], [0.626, 0.118, 0.630], [0.118, 0.626, 0.630], [0.626, 0.626, 0.630], [0.201, 0.727, 0.870], [0.727, 0.201, 0.870], [0.201, 0.201, 0.870], [0.799, 0.799, 0.130], [0.273, 0.799, 0.130], [0.799, 0.273, 0.130], [0.698, 0.698, 0.906], [0.302, 0.302, 0.094]], "space_group": "R-3m, No. 166", "magnetic_moment_mub_per_fu": 0.00}

entry 3 is favored, and the nearest alternative lies 3.7 kJ/mol of atoms above it.